No. 1
A relaxed Ba2PuAs2 crystal, computed with PBE.

Computed properties:
The value obtained for the formation energy is -940 meV per atom. The value obtained for the volume is 177 Å³/f.u. The space group is No. 72.

a b c (Å): 8.463 8.463 8.463
angles (deg): 121.65 76.47 135.17
Fractional coordinates of all 10 atoms:
Ba 0.147 0.146 0.292
Ba 0.353 0.646 0.999
Ba 0.647 0.354 0.001
Ba 0.853 0.854 0.708
Pu 0.250 0.750 0.500
Pu 0.750 0.250 0.500
As 0.112 0.739 0.851
As 0.388 0.239 0.626
As 0.612 0.761 0.374
As 0.888 0.261 0.149

=====

No. 2
A relaxed BaPuAs crystal, computed with PBE.

Computed properties:
The value obtained for the formation energy is -369 meV per atom. The value obtained for the volume is 90 Å³/f.u. The space group is No. 166.

a b c (Å): 13.372 13.372 13.372
angles (deg): 17.05 17.05 17.05
Fractional coordinates of all 6 atoms:
Ba 0.112 0.112 0.112
Ba 0.888 0.888 0.888
Pu 0.346 0.346 0.346
Pu 0.654 0.654 0.654
As 0.275 0.275 0.275
As 0.725 0.725 0.725

=====

No. 3
A relaxed Ba5PuAs5 crystal, computed with PBE.

Computed properties:
The value obtained for the formation energy is -915 meV per atom. The value obtained for the volume is 422 Å³/f.u. The space group is No. 12.

a b c (Å): 8.157 8.157 9.186
angles (deg): 107.30 107.30 46.81
Fractional coordinates of all 11 atoms:
Ba 0.000 0.000 0.000
Ba 0.313 0.313 0.181
Ba 0.328 0.328 0.653
Ba 0.672 0.672 0.347
Ba 0.687 0.687 0.819
Pu 0.000 0.000 0.500
As 0.142 0.142 0.347
As 0.149 0.149 0.805
As 0.500 0.500 0.500
As 0.851 0.851 0.195
As 0.858 0.858 0.653

=====

No. 4
A relaxed BaPuAs crystal, computed with PBE.

Computed properties:
The value obtained for the formation energy is -456 meV per atom. The value obtained for the volume is 103 Å³/f.u. The space group is No. 187.

a b c (Å): 4.976 4.976 4.810
angles (deg): 90.00 90.00 120.00
Fractional coordinates of all 3 atoms:
Ba 0.000 0.000 0.000
Pu 0.667 0.333 0.500
As 0.333 0.667 0.500

=====

formation energy of number 4 (BaPuAs)? -456 meV per atom

=====

Which formula does entry 1 have? Ba2PuAs2

=====

formation energy of number 2 (BaPuAs)? -369 meV per atom